Entry 1:
MnH2Ir (meta-GGA SCAN, PBEsol geometry); theoretical density = 12278 kg/m³; electronic total energy = -1.7385 Ry per atom
1.0
5.127 0.000 0.000
0.000 5.127 0.000
0.000 0.000 5.127
Mn H Ir
4 8 4
Direct
0.000 0.000 0.000
0.000 0.500 0.500
0.500 0.000 0.500
0.500 0.500 0.000
0.250 0.250 0.250
0.250 0.250 0.750
0.250 0.750 0.250
0.250 0.750 0.750
0.750 0.250 0.250
0.750 0.250 0.750
0.750 0.750 0.250
0.750 0.750 0.750
0.000 0.000 0.500
0.000 0.500 0.000
0.500 0.000 0.000
0.500 0.500 0.500

***

Entry 2:
Mn2HIr (meta-GGA SCAN, PBEsol geometry); theoretical density = 13144 kg/m³; electronic total energy = -2.0197 Ry per atom
1.0
5.678 0.000 0.000
0.000 5.678 0.000
0.000 0.000 4.750
Mn H Ir
8 4 4
Direct
0.147 0.750 0.125
0.250 0.147 0.875
0.250 0.353 0.375
0.353 0.750 0.625
0.647 0.250 0.625
0.750 0.647 0.375
0.750 0.853 0.875
0.853 0.250 0.125
0.000 0.000 0.000
0.000 0.500 0.250
0.500 0.000 0.750
0.500 0.500 0.500
0.000 0.000 0.500
0.000 0.500 0.750
0.500 0.000 0.250
0.500 0.500 0.000

***

Entry 3:
Mo3HIr (meta-GGA SCAN, PBEsol geometry); theoretical density = 12980 kg/m³; electronic total energy = -2.6383 Ry per atom
1.0
3.948 0.000 0.000
0.000 3.948 0.000
0.000 0.000 3.948
Mo H Ir
3 1 1
Direct
0.000 0.000 0.500
0.000 0.500 0.000
0.500 0.000 0.000
0.000 0.000 0.000
0.500 0.500 0.500

***

Entry 4:
Mo2HIr (meta-GGA SCAN, PBEsol geometry); theoretical density = 11439 kg/m³; electronic total energy = -2.6094 Ry per atom
1.0
4.608 0.000 0.000
0.000 4.608 0.000
0.000 0.000 10.529
Mo H Ir
8 4 4
Direct
0.120 0.250 0.125
0.250 0.620 0.375
0.250 0.880 0.875
0.380 0.250 0.625
0.620 0.750 0.625
0.750 0.120 0.875
0.750 0.380 0.375
0.880 0.750 0.125
0.000 0.000 0.000
0.000 0.500 0.250
0.500 0.000 0.750
0.500 0.500 0.500
0.000 0.000 0.500
0.000 0.500 0.750
0.500 0.000 0.250
0.500 0.500 0.000

***

Entry 5:
MoH3Ir (meta-GGA SCAN, PBEsol geometry); theoretical density = 12195 kg/m³; electronic total energy = -1.6570 Ry per atom
1.0
3.410 0.000 0.000
0.000 3.410 0.000
0.000 0.000 3.410
Mo H Ir
1 3 1
Direct
0.000 0.000 0.000
0.000 0.000 0.500
0.000 0.500 0.000
0.500 0.000 0.000
0.500 0.500 0.500

***

Entry 6:
MoHIr3 (meta-GGA SCAN, PBEsol geometry); theoretical density = 18781 kg/m³; electronic total energy = -3.6994 Ry per atom
1.0
3.905 0.000 0.000
0.000 3.905 0.000
0.000 0.000 3.905
Mo H Ir
1 1 3
Direct
0.000 0.000 0.000
0.500 0.500 0.500
0.000 0.500 0.500
0.500 0.000 0.500
0.500 0.500 0.000

***

Entry 7:
Mo2HIrPd (meta-GGA SCAN, PBEsol geometry); theoretical density = 11295 kg/m³; electronic total energy = -2.5376 Ry per atom
1.0
4.857 0.000 0.000
0.000 4.857 0.000
0.000 0.000 3.064
Mo H Ir Pd
2 1 1 1
Direct
0.000 0.500 0.000
0.500 0.000 0.000
0.000 0.000 0.500
0.000 0.000 0.000
0.500 0.500 0.500

***

Entry 8:
NiHIr2N (meta-GGA SCAN, PBEsol geometry); theoretical density = 15426 kg/m³; electronic total energy = -2.4257 Ry per atom
1.0
4.332 0.000 0.000
0.000 4.332 0.000
0.000 0.000 2.628
Ni H Ir N
1 1 2 1
Direct
0.000 0.000 0.000
0.500 0.500 0.500
0.000 0.500 0.500
0.500 0.000 0.500
0.500 0.500 0.000

***

Entry 9:
HIrN2O (meta-GGA SCAN, PBEsol geometry); theoretical density = 10680 kg/m³; electronic total energy = -1.3180 Ry per atom
1.0
3.047 0.000 0.000
0.000 3.047 0.000
0.000 0.000 3.974
H Ir N O
1 1 2 1
Direct
0.000 0.000 0.000
0.500 0.500 0.500
0.000 0.500 0.000
0.500 0.000 0.000
0.000 0.000 0.500

***

Entry 10:
HIrNO2 (meta-GGA SCAN, PBEsol geometry); theoretical density = 10651 kg/m³; electronic total energy = -1.3106 Ry per atom
1.0
3.777 0.000 0.000
0.000 3.777 0.000
0.000 0.000 2.615
H Ir N O
1 1 1 2
Direct
0.000 0.000 0.000
0.500 0.500 0.500
0.000 0.000 0.500
0.000 0.500 0.000
0.500 0.000 0.000

***

Entry 11:
TlHIrN2 (meta-GGA SCAN, PBEsol geometry); theoretical density = 11915 kg/m³; electronic total energy = -2.2628 Ry per atom
1.0
4.288 0.000 0.000
0.000 4.288 0.000
0.000 0.000 3.226
Tl H Ir N
1 1 1 2
Direct
0.000 0.000 0.000
0.000 0.000 0.500
0.500 0.500 0.500
0.000 0.500 0.000
0.500 0.000 0.000

***

Entry 12:
NaSbH2Ir (meta-GGA SCAN, PBEsol geometry); theoretical density = 6750 kg/m³; electronic total energy = -1.6606 Ry per atom
1.0
3.786 0.000 0.000
0.000 3.786 0.000
0.000 0.000 5.819
Na Sb H Ir
1 1 2 1
Direct
0.000 0.000 0.000
0.000 0.000 0.500
0.000 0.500 0.500
0.500 0.000 0.500
0.500 0.500 0.000

***

Entry 13:
Nb2H2Ir (meta-GGA SCAN, PBEsol geometry); theoretical density = 11630 kg/m³; electronic total energy = -2.1533 Ry per atom
1.0
2.909 0.000 0.000
0.000 2.909 0.000
0.000 0.000 12.823
Nb H Ir
4 4 2
Direct
0.000 0.000 0.146
0.000 0.000 0.854
0.500 0.500 0.354
0.500 0.500 0.646
0.000 0.500 0.250
0.000 0.500 0.750
0.500 0.000 0.250
0.500 0.000 0.750
0.000 0.000 0.500
0.500 0.500 0.000

***

Entry 14:
Nb3HIr (meta-GGA SCAN, PBEsol geometry); theoretical density = 11339 kg/m³; electronic total energy = -2.5744 Ry per atom
1.0
4.104 0.000 0.000
0.000 4.104 0.000
0.000 0.000 4.104
Nb H Ir
3 1 1
Direct
0.000 0.000 0.500
0.000 0.500 0.000
0.500 0.000 0.000
0.000 0.000 0.000
0.500 0.500 0.500

***

Entry 15:
NbSn2HIr (meta-GGA SCAN, PBEsol geometry); theoretical density = 11366 kg/m³; electronic total energy = -2.6314 Ry per atom
1.0
4.713 0.000 0.000
0.000 4.713 0.000
0.000 0.000 3.443
Nb Sn H Ir
1 2 1 1
Direct
0.000 0.000 0.000
0.000 0.500 0.500
0.500 0.000 0.500
0.500 0.500 0.500
0.500 0.500 0.000

***

Entry 16:
NiH2Ir (meta-GGA SCAN, PBEsol geometry); theoretical density = 13372 kg/m³; electronic total energy = -1.7127 Ry per atom
1.0
4.009 0.000 0.000
0.000 4.009 0.000
0.000 0.000 7.817
Ni H Ir
4 8 4
Direct
0.000 0.000 0.000
0.000 0.500 0.250
0.500 0.000 0.750
0.500 0.500 0.500
0.219 0.250 0.125
0.250 0.719 0.375
0.250 0.781 0.875
0.281 0.250 0.625
0.719 0.750 0.625
0.750 0.219 0.875
0.750 0.281 0.375
0.781 0.750 0.125
0.000 0.000 0.500
0.000 0.500 0.750
0.500 0.000 0.250
0.500 0.500 0.000

***

Entry 17:
P2HIrO (meta-GGA SCAN, PBEsol geometry); theoretical density = 5534 kg/m³; electronic total energy = -1.4266 Ry per atom
1.0
4.705 0.000 0.000
0.000 4.705 0.000
0.000 0.000 3.676
P H Ir O
2 1 1 1
Direct
0.000 0.500 0.000
0.500 0.000 0.000
0.000 0.000 0.500
0.500 0.500 0.000
0.500 0.500 0.500

***

Entry 18:
HIr2SO (meta-GGA SCAN, PBEsol geometry); theoretical density = 12413 kg/m³; electronic total energy = -2.2977 Ry per atom
1.0
4.473 0.000 0.000
0.000 4.473 0.000
0.000 0.000 2.898
H Ir S O
1 2 1 1
Direct
0.000 0.000 0.000
0.000 0.500 0.500
0.500 0.000 0.500
0.000 0.000 0.500
0.500 0.500 0.000

***

Entry 19:
H3IrOs (meta-GGA SCAN, PBEsol geometry); theoretical density = 16384 kg/m³; electronic total energy = -2.1921 Ry per atom
1.0
3.393 0.000 0.000
0.000 3.393 0.000
0.000 0.000 3.393
H Ir Os
3 1 1
Direct
0.000 0.000 0.500
0.000 0.500 0.000
0.500 0.000 0.000
0.000 0.000 0.000
0.500 0.500 0.500

***

Entry 20:
P2HIr (meta-GGA SCAN, PBEsol geometry); theoretical density = 9309 kg/m³; electronic total energy = -1.7318 Ry per atom
1.0
5.668 0.000 0.000
0.000 5.668 0.000
0.000 0.000 5.668
P H Ir
8 4 4
Direct
0.250 0.250 0.250
0.250 0.250 0.750
0.250 0.750 0.250
0.250 0.750 0.750
0.750 0.250 0.250
0.750 0.250 0.750
0.750 0.750 0.250
0.750 0.750 0.750
0.000 0.000 0.000
0.000 0.500 0.500
0.500 0.000 0.500
0.500 0.500 0.000
0.000 0.000 0.500
0.000 0.500 0.000
0.500 0.000 0.000
0.500 0.500 0.500